Record 1
First-principles (PBE) data for a geometry-optimized MnCd3 structure, as listed in Alexandria via LeMat-Bulk.

- Size of the total moment: 3.87 μB per formula unit
- Space-group type: No. 25
- ΔE_f: 0.183 eV per atom

Unit cell a=3.181 b=4.800 c=5.249 alpha=90.00 beta=90.00 gamma=90.00
Atoms (fractional coordinates):
Cd 0.500 0.500 0.833
Cd 0.000 0.000 0.007
Cd 0.500 0.000 0.486
Mn 0.000 0.500 0.341

Record 2
First-principles (PBE) data for a geometry-optimized MnCd3 structure, as listed in Alexandria via LeMat-Bulk.

- Size of the total moment: 3.86 μB per formula unit
- Space-group type: No. 25
- ΔE_f: 0.256 eV per atom

Unit cell a=2.941 b=3.123 c=9.361 alpha=90.00 beta=90.00 gamma=90.00
Atoms (fractional coordinates):
Cd 0.000 0.500 0.464
Cd 0.500 0.000 0.715
Cd 0.500 0.500 0.182
Mn 0.000 0.000 0.973

Record 3
First-principles (PBE) data for a geometry-optimized Mn3Cd structure, as listed in Alexandria via LeMat-Bulk.

- Size of the total moment: 3.70 μB per formula unit
- Space-group type: No. 166
- ΔE_f: 0.356 eV per atom

Unit cell a=2.854 b=2.854 c=8.810 alpha=80.68 beta=99.32 gamma=120.00
Atoms (fractional coordinates):
Mn 0.760 0.240 0.280
Mn 0.500 0.500 0.500
Mn 0.240 0.760 0.720
Cd 0.000 0.000 0.000

Record 4
First-principles (PBE) data for a geometry-optimized MnCd4 structure, as listed in Alexandria via LeMat-Bulk.

- Size of the total moment: 3.86 μB per formula unit
- Space-group type: No. 221
- ΔE_f: 0.536 eV per atom

Unit cell a=5.242 b=5.242 c=5.242 alpha=90.00 beta=90.00 gamma=90.00
Atoms (fractional coordinates):
Cd 0.000 0.000 0.000
Cd 0.500 0.500 0.000
Cd 0.000 0.500 0.500
Cd 0.500 0.000 0.500
Mn 0.500 0.500 0.500

| no. | theoretical density (Mg/m³) |
| --- | --- |
| 1 | 8.125 |
| 2 | 7.575 |
| 3 | 7.538 |
| 4 | 5.816 |